Entry from Alexandria via LeMat-Bulk: crystalline Sm2TmTe4 at its relaxed geometry (PBE-GGA).

Cell: 4.2408 14.5766 15.1544 Å, 90.00 90.00 90.00°
Space group Cmcm (No. 63)
Unique sites:
Sm (0.0000, 0.1316, 0.0705) [8 per cell]
Tm (0.0000, 0.3716, 0.2500) [4 per cell]
Te (0.0000, 0.0241, 0.2500) [4 per cell]
Te (0.0000, 0.2175, 0.6253) [8 per cell]
Te (0.0000, 0.5000, 0.0000) [4 per cell]

Results
total energy	-5.12	eV/atom
magnetic moment	0.000	μB per atom
energy relative to the lowest polymorph listed for this composition	0.0462	eV per atom
E_form (uncorrected)	-128.7	kJ/mol of atoms

=====

Entry from Alexandria via LeMat-Bulk: crystalline AsPtBr at its relaxed geometry (PBE-GGA).

Cell: 3.7238 6.2012 12.5777 Å, 90.00 90.00 90.00°
Space group Fmm2 (No. 42)
Unique sites:
As (0.0000, 0.0000, 0.0000) [4 per cell]
Pt (0.0000, 0.0000, 0.3820) [4 per cell]
Br (0.0000, 0.0000, 0.7332) [4 per cell]

Results
total energy	-4.09	eV/atom
magnetic moment	0.000	μB per atom
energy relative to the lowest polymorph listed for this composition	0.3235	eV per atom
E_form (uncorrected)	3.3	kJ/mol of atoms

=====

Entry from Alexandria via LeMat-Bulk: crystalline HfTa2HIr at its relaxed geometry (PBE-GGA).

Cell: 4.0120 4.0120 4.5936 Å, 90.00 90.00 90.00°
Space group P4/mmm (No. 123)
Unique sites:
Hf (0.0000, 0.0000, 0.0000) [1 per cell]
Ta (0.0000, 0.5000, 0.5000) [2 per cell]
H (0.0000, 0.0000, 0.5000) [1 per cell]
Ir (0.5000, 0.5000, 0.0000) [1 per cell]

Results
total energy	-9.43	eV/atom
magnetic moment	0.000	μB per atom

=====

Entry from Alexandria via LeMat-Bulk: crystalline LiMg3Cd7 at its relaxed geometry (PBE-GGA).

Cell: 10.2975 10.0929 5.4308 Å, 90.00 114.82 90.00°
Space group C2/m (No. 12)
Unique sites:
Li (0.0000, 0.0000, 0.0000) [2 per cell]
Mg (0.0000, 0.2983, 0.5000) [4 per cell]
Mg (0.0000, 0.5000, 0.0000) [2 per cell]
Cd (0.0000, 0.0000, 0.5000) [2 per cell]
Cd (0.1668, 0.2504, 0.1570) [8 per cell]
Cd (0.2226, 0.5000, 0.5537) [4 per cell]

Results
formation energy from the elements	-0.011	eV per atom
total energy	-1.20	eV/atom
magnetic moment	0.000	μB per atom
energy relative to the lowest polymorph listed for this composition	0.0000	eV per atom

=====

Entry from Alexandria via LeMat-Bulk: crystalline Ru3PtW2 at its relaxed geometry (PBE-GGA).

Cell: 7.3051 10.4946 5.6123 Å, 90.00 90.00 90.00°
Space group Ibam (No. 72)
Unique sites:
Ru (0.0000, 0.0000, 0.2500) [4 per cell]
Ru (0.0000, 0.2749, 0.2500) [8 per cell]
Pt (0.0000, 0.5000, 0.0000) [4 per cell]
W (0.2032, 0.1425, 0.0000) [8 per cell]

Results
formation energy from the elements	0.492	eV per atom
total energy	-9.47	eV/atom
magnetic moment	0.000	μB per atom
energy relative to the lowest polymorph listed for this composition	0.2511	eV per atom

=====

Entry from Alexandria via LeMat-Bulk: crystalline ErGaNi at its relaxed geometry (PBE-GGA).

Cell: 6.7930 4.2681 7.3171 Å, 90.00 90.00 90.00°
Space group Pnma (No. 62)
Unique sites:
Er (0.0185, 0.2500, 0.1949) [4 per cell]
Ga (0.1740, 0.2500, 0.5763) [4 per cell]
Ni (0.2130, 0.7500, 0.4031) [4 per cell]

Results
formation energy from the elements	-0.658	eV per atom
total energy	-5.11	eV/atom
magnetic moment	0.000	μB per atom

=====

Entry from Alexandria via LeMat-Bulk: crystalline DyGa6S8 at its relaxed geometry (PBE-GGA).

Cell: 10.0022 10.0022 10.9364 Å, 90.00 90.00 120.00°
Space group R-3 (No. 148, hexagonal axes)
Unique sites:
Dy (0.0000, 0.0000, 0.0000) [3 per cell]
Ga (0.0750, 0.8581, 0.5994) [18 per cell]
S (0.0000, 0.0000, 0.2660) [6 per cell]
S (0.0068, 0.2852, 0.9221) [18 per cell]

Results
total energy	-4.26	eV/atom
magnetic moment	0.000	μB per atom
E_form (uncorrected)	-52.0	kJ/mol of atoms

=====

Entry from Alexandria via LeMat-Bulk: crystalline Cs2HgS at its relaxed geometry (PBE-GGA).

Cell: 8.5621 8.5621 8.5621 Å, 90.00 90.00 90.00°
Space group Fm-3m (No. 225)
Unique sites:
Cs (0.2500, 0.2500, 0.2500) [8 per cell]
Hg (0.0000, 0.0000, 0.0000) [4 per cell]
S (0.0000, 0.0000, 0.5000) [4 per cell]

Results
total energy	-2.22	eV/atom
magnetic moment	0.000	μB per atom
energy relative to the lowest polymorph listed for this composition	0.0295	eV per atom
E_form (uncorrected)	-66.6	kJ/mol of atoms